Record 1
This record from Alexandria describes crystalline Pr5Nd4Dy at its relaxed geometry. The functional is PBE-GGA.

The formation energy comes out at 220 meV/atom. The density of states at the Fermi level is 1.44 states/eV per atom. Its crystal system is tetragonal.

It has space group I4 (No. 79), with a = 10.6410 Å, b = 10.6410 Å, c = 6.3351 Å, α = 90.00°, β = 90.00° and γ = 90.00°. The distinct sites, in fractional coordinates, are Pr at (0.0000, 0.0000, 0.0000), Pr at (0.1884, 0.8107, 0.7235), Nd at (0.9995, 0.3254, 0.2581) and Dy at (0.0000, 0.0000, 0.4634).

Record 2
This record from Alexandria describes crystalline Pr6Nd2Dy at its relaxed geometry. The functional is PBE-GGA.

The formation energy comes out at 77 meV/atom. The density of states at the Fermi level is 1.47 states/eV per atom. Its crystal system is monoclinic.

It has space group C2/c (No. 15), with a = 16.8385 Å, b = 12.0044 Å, c = 6.3225 Å, α = 90.00°, β = 96.47° and γ = 90.00°. The distinct sites, in fractional coordinates, are Pr at (0.0487, 0.1395, 0.0138), Pr at (0.1150, 0.3602, 0.3198), Pr at (0.2123, 0.3641, 0.8509), Nd at (0.1679, 0.1024, 0.5804) and Dy at (0.0000, 0.3993, 0.7500).

Number 1: total moment 0.00 μB per formula unit, mass density 6.7 Mg/m³, DFT total energy -4.537 eV/atom. Number 2: total moment 0.00 μB per formula unit, mass density 6.8 Mg/m³, DFT total energy -4.681 eV/atom.